(1)
The following is a PBE calculation of ZnOs2Pt after structural relaxation, from Alexandria via LeMat-Bulk.

Lattice parameters (Å, degrees): 2.7345 4.5868 4.7512 90.00 90.00 90.00
Space group Pmmm (No. 47)
Asymmetric unit:
Zn  0.0000  0.0000  0.0000
Os  0.0000  0.5000  0.5000
Os  0.5000  0.0000  0.5000
Pt  0.5000  0.5000  0.0000

Summary:
Energy (eV for the cell shown): -28.55

(2)
The following is a PBE calculation of Ce2RhBr after structural relaxation, from Alexandria via LeMat-Bulk.

Lattice parameters (Å, degrees): 4.0012 4.0012 23.7690 90.00 90.00 120.00
Space group R3m (No. 160, hexagonal axes)
Asymmetric unit:
Ce  0.0000  0.0000  0.0000
Ce  0.0000  0.0000  0.1993
Rh  0.0000  0.0000  0.5986
Br  0.0000  0.0000  0.7671

Summary:
Energy (eV for the cell shown): -74.21
E_form (uncorrected) (eV per atom): -0.9616

(3)
The following is a PBE calculation of SmErNi2 after structural relaxation, from Alexandria via LeMat-Bulk.

Lattice parameters (Å, degrees): 4.3033 3.6840 10.2179 90.00 90.00 90.00
Space group Amm2 (No. 38)
Asymmetric unit:
Sm  0.0000  0.0000  0.0000
Er  0.5000  0.0000  0.7228
Ni  0.0000  0.0000  0.2845
Ni  0.5000  0.0000  0.4312

Summary:
Energy (eV for the cell shown): -45.04

(4)
The following is a PBE calculation of Na3ZrS after structural relaxation, from Alexandria via LeMat-Bulk.

Lattice parameters (Å, degrees): 6.0253 6.0253 6.0253 90.00 90.00 90.00
Space group Pm-3m (No. 221)
Asymmetric unit:
Na  0.0000  0.0000  0.5000
Zr  0.0000  0.0000  0.0000
S  0.5000  0.5000  0.5000

Summary:
Energy (eV for the cell shown): -10.49
E_form (uncorrected) (eV per atom): 1.2289

(5)
The following is a PBE calculation of TcRhW2 after structural relaxation, from Alexandria via LeMat-Bulk.

Lattice parameters (Å, degrees): 2.7667 2.7667 27.8918 90.00 90.00 120.00
Space group R3m (No. 160, hexagonal axes)
Asymmetric unit:
Tc  0.0000  0.0000  0.0000
Rh  0.0000  0.0000  0.7475
W  0.0000  0.0000  0.2496
W  0.0000  0.0000  0.4937

Summary:
Energy (eV for the cell shown): -128.89

(6)
The following is a PBE calculation of Zn2InSb after structural relaxation, from Alexandria via LeMat-Bulk.

Lattice parameters (Å, degrees): 7.1896 7.1896 7.1896 90.00 90.00 90.00
Space group F-43m (No. 216)
Asymmetric unit:
Zn  0.0000  0.0000  0.0000
Zn  0.2500  0.2500  0.2500
In  0.0000  0.0000  0.5000
Sb  0.2500  0.2500  0.7500

Summary:
Energy (eV for the cell shown): -34.77
E_form (uncorrected) (eV per atom): 0.1788

(7)
The following is a PBE calculation of Zn2Co2Pt after structural relaxation, from Alexandria via LeMat-Bulk.

Lattice parameters (Å, degrees): 6.9373 6.9373 2.7487 90.00 90.00 90.00
Space group P4/mbm (No. 127)
Asymmetric unit:
Zn  0.1812  0.3188  0.0000
Co  0.1141  0.6141  0.5000
Pt  0.0000  0.0000  0.5000

Summary:
Energy (eV for the cell shown): -45.33

(8)
The following is a PBE calculation of Zr2SbPb after structural relaxation, from Alexandria via LeMat-Bulk.

Lattice parameters (Å, degrees): 4.1949 4.2273 5.3638 90.00 90.00 90.00
Space group Pmmm (No. 47)
Asymmetric unit:
Zr  0.0000  0.0000  0.0000
Zr  0.0000  0.5000  0.5000
Sb  0.5000  0.0000  0.5000
Pb  0.5000  0.5000  0.0000

Summary:
Energy (eV for the cell shown): -26.15
E_form (uncorrected) (eV per atom): -0.3049

(9)
The following is a PBE calculation of MgGaTe2 after structural relaxation, from Alexandria via LeMat-Bulk.

Lattice parameters (Å, degrees): 4.1863 4.1863 7.0506 90.00 90.00 120.00
Space group P-3m1 (No. 164)
Asymmetric unit:
Mg  0.0000  0.0000  0.0000
Ga  0.0000  0.0000  0.5000
Te  0.3333  0.6667  0.2463

Summary:
Energy (eV for the cell shown): -12.76
E_form (uncorrected) (eV per atom): -0.4639

(10)
The following is a PBE calculation of NaIrRh3 after structural relaxation, from Alexandria via LeMat-Bulk.

Lattice parameters (Å, degrees): 4.7784 4.7784 4.7784 90.00 90.00 90.00
Space group Pm-3m (No. 221)
Asymmetric unit:
Na  0.0000  0.0000  0.0000
Ir  0.5000  0.5000  0.5000
Rh  0.0000  0.5000  0.5000

Summary:
Energy (eV for the cell shown): -27.24

(11)
The following is a PBE calculation of TbNdHgAu after structural relaxation, from Alexandria via LeMat-Bulk.

Lattice parameters (Å, degrees): 7.4538 7.4538 7.4538 90.00 90.00 90.00
Space group F-43m (No. 216)
Asymmetric unit:
Tb  0.0000  0.0000  0.0000
Nd  0.0000  0.0000  0.5000
Hg  0.2500  0.2500  0.7500
Au  0.2500  0.2500  0.2500

Summary:
Energy (eV for the cell shown): -61.86

(12)
The following is a PBE calculation of Na2Er2RuO6 after structural relaxation, from Alexandria via LeMat-Bulk.

Lattice parameters (Å, degrees): 5.6845 9.8202 5.8722 90.00 105.49 90.00
Space group C2/m (No. 12)
Asymmetric unit:
Na  0.0000  0.1493  0.0000
Er  0.0000  0.3370  0.5000
Ru  0.0000  0.0000  0.5000
O  0.2033  0.1578  0.6928
O  0.2493  0.0000  0.2990

Summary:
Energy (eV for the cell shown): -151.28
E_form (uncorrected) (eV per atom): -2.2590